Record 1
Ta2CdNi | PBE | relaxed

Cell: 5.442 5.442 4.428 Å, 66.02 66.02 34.50°
Sites, in units of the cell vectors:
Ni 0.250 0.250 0.250
Cd 0.750 0.750 0.750
Ta 0.517 0.517 0.483
Ta 0.983 0.983 0.017

Calculated values
Energy = -29.72 eV per cell
Total magnetic moment = 0.000 μB per atom
ΔH_f (0 K) = 16.4 kJ per mole of atoms
Symmetry = Immm

---

Record 2
PaSn2P2Rh7 | PBE | relaxed

Cell: 3.956 3.956 13.583 Å, 83.46 83.46 89.60°
Sites, in units of the cell vectors:
P 0.405 0.405 0.250
P 0.595 0.595 0.750
Sn 0.107 0.107 0.611
Sn 0.893 0.893 0.389
Rh 0.631 0.631 0.580
Rh 0.369 0.369 0.420
Rh 0.938 0.436 0.161
Rh 0.436 0.938 0.161
Rh 0.500 0.500 0.000
Rh 0.062 0.564 0.839
Rh 0.564 0.062 0.839
Pa 0.000 0.000 0.000

Calculated values
Energy = -86.68 eV per cell
Total magnetic moment = 0.000 μB per atom
ΔH_f (0 K) = -55.5 kJ per mole of atoms
Symmetry = C2/m

---

Record 3
BaSiW2 | PBE | relaxed

Cell: 3.385 3.385 7.477 Å, 90.00 90.00 90.00°
Sites, in units of the cell vectors:
W 0.000 0.000 0.907
W 0.000 0.000 0.593
Si 0.500 0.500 0.750
Ba 0.500 0.500 0.250

Calculated values
Formation energy (no corrections) = 64 kJ per mole of atoms
Energy = -30.60 eV per cell
Total magnetic moment = 0.000 μB per atom
Relative energy among the computed polymorphs = 0.2462 eV/atom
Symmetry = P4/mmm

---

Record 4
TlTc2Sb | PBE | relaxed

Cell: 4.090 4.765 5.090 Å, 63.55 90.00 90.00°
Sites, in units of the cell vectors:
Tc 0.000 0.018 0.067
Tc 0.500 0.210 0.163
Tl 0.000 0.426 0.485
Sb 0.500 0.845 0.785

Calculated values
Formation energy (no corrections) = 49 kJ per mole of atoms
Energy = -25.18 eV per cell
Total magnetic moment = 0.000 μB per atom
Relative energy among the computed polymorphs = 0.2842 eV/atom
Symmetry = Pm

---

Record 5
PmBeBr | PBE | relaxed

Cell: 4.017 4.017 11.743 Å, 80.15 80.15 60.00°
Sites, in units of the cell vectors:
Be 0.166 0.166 0.501
Be 0.834 0.834 0.499
Pm 0.445 0.445 0.666
Pm 0.555 0.555 0.334
Br 0.278 0.278 0.166
Br 0.722 0.722 0.834

Calculated values
Formation energy (no corrections) = -81 kJ per mole of atoms
Energy = -25.31 eV per cell
Total magnetic moment = 0.004 μB per atom
Relative energy among the computed polymorphs = 0.0000 eV/atom
Symmetry = R-3m

---

Record 6
CoAgPb2 | PBE | relaxed

Cell: 6.954 6.954 4.361 Å, 71.79 71.79 26.22°
Sites, in units of the cell vectors:
Pb 0.735 0.735 0.765
Pb 0.942 0.942 0.058
Co 0.252 0.252 0.247
Ag 0.570 0.570 0.430

Calculated values
Energy = -16.08 eV per cell
Total magnetic moment = 0.203 μB per atom
Relative energy among the computed polymorphs = 0.0000 eV/atom
ΔH_f (0 K) = 31.3 kJ per mole of atoms
Symmetry = Cm

---

Record 7
NaZrInPt2 | PBE | relaxed

Cell: 5.081 5.255 5.081 Å, 90.00 90.00 90.00°
Sites, in units of the cell vectors:
Zr 0.000 0.500 0.000
In 0.000 0.000 0.000
Na 0.500 0.500 0.500
Pt 0.000 0.000 0.500
Pt 0.500 0.000 0.000

Calculated values
Energy = -20.65 eV per cell
Total magnetic moment = 0.249 μB per atom
Relative energy among the computed polymorphs = 0.0000 eV/atom
ΔH_f (0 K) = 78.0 kJ per mole of atoms
Symmetry = P4/mmm

---

Record 8
GaPRuS2 | PBE | relaxed

Cell: 4.626 4.626 4.641 Å, 90.00 90.00 90.00°
Sites, in units of the cell vectors:
S 0.500 0.000 0.000
S 0.000 0.500 0.000
Ru 0.500 0.500 0.500
Ga 0.000 0.000 0.000
P 0.000 0.000 0.500

Calculated values
Formation energy (no corrections) = 108 kJ per mole of atoms
Energy = -20.39 eV per cell
Total magnetic moment = 0.422 μB per atom
Relative energy among the computed polymorphs = 0.7321 eV/atom
Symmetry = P4/mmm

---

Record 9
CaHo2Lu | PBE | relaxed

Cell: 3.510 3.510 12.591 Å, 81.99 81.99 60.00°
Sites, in units of the cell vectors:
Ho 0.092 0.092 0.723
Ho 0.908 0.908 0.277
Lu 0.500 0.500 0.500
Ca 0.000 0.000 0.000

Calculated values
Energy = -15.00 eV per cell
Total magnetic moment = 0.000 μB per atom
Relative energy among the computed polymorphs = 0.0604 eV/atom
ΔH_f (0 K) = 16.3 kJ per mole of atoms
Symmetry = R-3m

---

Record 10
Sc2IF2 | PBE | relaxed

Cell: 3.727 3.727 6.606 Å, 73.62 73.62 90.00°
Sites, in units of the cell vectors:
F 0.750 0.250 0.500
F 0.250 0.750 0.500
Sc 0.366 0.366 0.267
Sc 0.634 0.634 0.733
I 0.000 0.000 0.000

Calculated values
Formation energy (no corrections) = -197 kJ per mole of atoms
Energy = -28.16 eV per cell
Total magnetic moment = 0.000 μB per atom
Symmetry = I4/mmm

---

Record 11
Y12Ho3Th | PBE | relaxed

Cell: 5.048 5.048 20.155 Å, 90.00 90.00 90.00°
Sites, in units of the cell vectors:
Y 0.500 0.000 0.375
Y 0.500 0.500 0.251
Y 0.000 0.500 0.625
Y 0.500 0.000 0.625
Y 0.500 0.500 0.000
Y 0.500 0.500 0.500
Y 0.500 0.000 0.124
Y 0.500 0.500 0.749
Y 0.000 0.500 0.876
Y 0.000 0.500 0.375
Y 0.500 0.000 0.876
Y 0.000 0.500 0.124
Ho 0.000 0.000 0.750
Ho 0.000 0.000 0.250
Ho 0.000 0.000 0.500
Th 0.000 0.000 0.000

Calculated values
Energy = -98.24 eV per cell
Total magnetic moment = 0.000 μB per atom
ΔH_f (0 K) = 2.9 kJ per mole of atoms
Symmetry = P4/mmm

---

Record 12
PmAl7Fe5 | PBE | relaxed

Cell: 5.026 6.653 6.653 Å, 81.85 67.81 67.81°
Sites, in units of the cell vectors:
Fe 0.000 0.001 0.501
Fe 0.000 0.501 0.001
Fe 0.497 0.001 0.501
Fe 0.737 0.763 0.763
Fe 0.497 0.501 0.001
Al 0.272 0.228 0.228
Al 0.992 0.352 0.664
Al 0.341 0.659 0.659
Al 0.504 0.209 0.783
Al 0.504 0.783 0.209
Al 0.659 0.341 0.341
Al 0.992 0.664 0.352
Pm 0.005 0.995 0.995

Calculated values
Energy = -78.12 eV per cell
Total magnetic moment = 0.669 μB per atom
ΔH_f (0 K) = -36.1 kJ per mole of atoms
Symmetry = Imm2